Ca2TiWO6, single point on PBEsol structure, DFT SCAN; ΔE_f (raw) = -2990.4 meV/atom; crystal system = monoclinic
1.0
5.399 0.000 0.000
0.000 5.518 0.000
-5.389 0.000 7.695
Ca Ti W O
4 2 2 12
direct
0.241 0.046 0.249 Ca
0.241 0.454 0.749 Ca
0.759 0.546 0.251 Ca
0.759 0.954 0.751 Ca
0.000 0.000 0.500 Ti
0.000 0.500 0.000 Ti
0.500 0.000 0.000 W
0.500 0.500 0.500 W
0.168 0.207 0.962 O
0.168 0.293 0.462 O
0.256 0.709 0.960 O
0.256 0.791 0.460 O
0.324 0.018 0.750 O
0.324 0.482 0.250 O
0.676 0.518 0.750 O
0.676 0.982 0.250 O
0.744 0.209 0.540 O
0.744 0.291 0.040 O
0.832 0.707 0.538 O
0.832 0.793 0.038 O

***

NbTeF2, single point on PBEsol structure, DFT SCAN; ΔE_f (raw) = -1561.0 meV/atom; crystal system = trigonal
1.0
1.469 0.848 10.289
-1.469 0.848 10.289
0.000 -1.696 10.289
Nb Te F
1 1 2
direct
0.000 0.000 0.000 Nb
0.500 0.500 0.500 Te
0.381 0.381 0.381 F
0.619 0.619 0.619 F

***

HfSc2BiN, single point on PBEsol structure, DFT SCAN; ΔE_f (raw) = -962.0 meV/atom; crystal system = tetragonal
1.0
4.575 0.000 0.000
0.000 4.575 0.000
0.000 0.000 4.284
Hf Sc Bi N
1 2 1 1
direct
0.000 0.000 0.000 Hf
0.000 0.500 0.500 Sc
0.500 0.000 0.500 Sc
0.500 0.500 0.000 Bi
0.000 0.000 0.500 N

***

InNi2W, single point on PBEsol structure, DFT SCAN; formation energy = 0.24 eV/atom; crystal system = tetragonal
1.0
2.956 0.000 0.000
0.000 2.956 0.000
0.000 0.000 6.374
In Ni W
1 2 1
direct
0.000 0.000 0.000 In
0.000 0.000 0.454 Ni
0.500 0.500 0.252 Ni
0.500 0.500 0.672 W

***

K2TcPb, single point on PBEsol structure, DFT SCAN; formation energy = 0.53 eV/atom; crystal system = orthorhombic
1.0
-1.616 2.190 10.036
1.616 -2.190 10.036
1.616 2.190 -10.036
K Tc Pb
2 1 1
direct
0.148 0.148 0.000 K
0.852 0.852 0.000 K
0.000 0.500 0.500 Tc
0.500 0.000 0.500 Pb

***

CaLaHg2, single point on PBEsol structure, DFT SCAN; energy relative to the lowest polymorph listed for this composition = 0.00 eV per formula unit; formation energy = -0.77 eV/atom; crystal system = cubic
1.0
0.000 3.775 3.775
3.775 0.000 3.775
3.775 3.775 0.000
Ca La Hg
1 1 2
direct
0.000 0.000 0.000 Ca
0.500 0.500 0.500 La
0.250 0.250 0.250 Hg
0.750 0.750 0.750 Hg

***

| no. | calculated total energy (eV per atom) |
| --- | --- |
| 1 | -17.234 |
| 2 | -20.926 |
| 3 | -36.766 |
| 4 | -33.617 |
| 5 | -31.343 |
| 6 | -48.047 |